(1)
V2Fe2Ru, optimized geometry, DFT GGA-PBE; crystal system = monoclinic; SG = C2/m (12); size of the total moment = 4.0 Bohr magnetons per cell
1.0
-1.9339 0.7032 3.6467
-0.6119 -3.1554 2.6837
2.8278 -0.0070 3.9101
Ru Fe V
1 2 2
direct
0.5000 0.0000 0.0000 Ru
0.0967 0.5967 0.2102 Fe
0.9033 0.4033 0.7898 Fe
0.7021 0.2021 0.3935 V
0.2979 0.7979 0.6065 V



(2)
V2Fe2Ru, optimized geometry, DFT GGA-PBE; crystal system = tetragonal; SG = P4/mbm (127); size of the total moment = 0.0 Bohr magnetons per cell
1.0
6.6474 0.0000 0.0000
0.0000 6.6474 0.0000
0.0000 0.0000 2.7919
Fe V Ru
4 4 2
direct
0.6299 0.1299 0.0000 Fe
0.3701 0.8701 0.0000 Fe
0.8701 0.6299 0.0000 Fe
0.1299 0.3701 0.0000 Fe
0.6694 0.8306 0.5000 V
0.3306 0.1694 0.5000 V
0.1694 0.6694 0.5000 V
0.8306 0.3306 0.5000 V
0.0000 0.0000 0.0000 Ru
0.5000 0.5000 0.0000 Ru



How far above the most stable structure does each one sit? In meV/atom: (1) 0; (2) 82.



(1)
VFe2Ru, optimized geometry, DFT GGA-PBE; crystal system = cubic; SG = Fm-3m (225); size of the total moment = 4.3 Bohr magnetons per cell
1.0
-1.0477 -0.5976 -3.9961
2.5768 -2.0749 -2.5453
-1.0195 -3.8189 -1.3417
Fe V Ru
2 1 1
direct
0.7500 0.7500 0.7500 Fe
0.2500 0.2500 0.2500 Fe
0.0000 0.0000 0.0000 V
0.5000 0.5000 0.5000 Ru



(2)
VFe2Ru, optimized geometry, DFT GGA-PBE; crystal system = tetragonal; SG = P4/mmm (123); size of the total moment = 4.4 Bohr magnetons per cell
1.0
2.9845 0.0000 0.0000
0.0000 2.9845 0.0000
0.0000 0.0000 5.7035
Fe V Ru
2 1 1
direct
0.0000 0.0000 0.2386 Fe
0.0000 0.0000 0.7614 Fe
0.5000 0.5000 0.0000 V
0.5000 0.5000 0.5000 Ru



(3)
VFe2Ru, optimized geometry, DFT GGA-PBE; crystal system = tetragonal; SG = P4/mmm (123); size of the total moment = 2.6 Bohr magnetons per cell
1.0
-2.9893 -0.9771 2.0191
-1.8154 -0.7392 -3.0454
1.1956 -3.4167 0.1166
V Ru Fe
1 1 2
direct
0.5000 0.5000 0.5000 V
0.5000 0.0000 0.0000 Ru
0.0000 0.0000 0.5000 Fe
0.0000 0.5000 0.0000 Fe



(4)
VFe2Ru, optimized geometry, DFT GGA-PBE; crystal system = tetragonal; SG = I-42d (122); size of the total moment = 9.3 Bohr magnetons per cell
1.0
-1.8584 0.1184 -2.8946
-0.8012 -3.3258 0.3783
-8.7663 0.7419 3.6124
Fe Ru V
4 2 2
direct
0.1283 0.6250 0.2500 Fe
0.3750 0.3783 0.7500 Fe
0.8750 0.8717 0.7500 Fe
0.6217 0.1250 0.2500 Fe
0.7500 0.2500 0.5000 Ru
0.0000 0.0000 0.0000 Ru
0.5000 0.5000 0.0000 V
0.2500 0.7500 0.5000 V



How far above the most stable structure does each one sit? In meV/atom: (1) 24; (2) 63; (3) 0; (4) 480.



(1)
V4FeRu, optimized geometry, DFT GGA-PBE; crystal system = tetragonal; SG = P4/mmm (123); size of the total moment = 0.4 Bohr magnetons per cell
1.0
-2.2722 -1.8627 0.2686
1.6073 -2.1398 -1.2421
2.9533 -2.4444 8.0328
Fe V Ru
1 4 1
direct
0.5000 0.5000 0.5000 Fe
0.0000 0.0000 0.3402 V
0.5000 0.5000 0.1739 V
0.5000 0.5000 0.8261 V
0.0000 0.0000 0.6598 V
0.0000 0.0000 0.0000 Ru



(2)
V4FeRu, optimized geometry, DFT GGA-PBE; crystal system = triclinic; SG = P-1 (2); size of the total moment = 0.0 Bohr magnetons per cell
1.0
3.9940 0.0001 -0.0086
0.0000 3.9762 0.0008
-0.0075 0.0080 5.7277
Ru Fe V
1 1 4
direct
0.5013 0.4973 0.9981 Ru
0.0013 0.9973 0.4982 Fe
0.5016 0.9968 0.2616 V
0.0003 0.4975 0.7355 V
0.5010 0.9978 0.7346 V
0.0023 0.4971 0.2608 V



How far above the most stable structure does each one sit? In meV/atom: (1) 0; (2) 566.